{
  "formula": "AcInCu",
  "functional": "PBE-GGA",
  "state": "optimized geometry",
  "lattice_angstrom": [[1.022, -2.731, -3.465], [-1.706, -4.524, 3.062], [-6.024, 2.551, -0.828]],
  "species": ["In", "In", "Ac", "Ac", "Cu", "Cu"],
  "fractional_positions": [[0.594, 0.818, 0.188], [0.406, 0.182, 0.812], [0.877, 0.676, 0.755], [0.123, 0.324, 0.245], [0.222, 0.862, 0.444], [0.778, 0.138, 0.556]],
  "n_ef_per_ev_atom": 0.72,
  "polymorph_energy_ev_per_atom": 0.000,
  "e_form_ev_per_atom": -0.32,
  "sg": "C2/m"
}


{
  "formula": "Ac12InCu6",
  "functional": "PBE-GGA",
  "state": "optimized geometry",
  "lattice_angstrom": [[-6.950, 6.226, -1.305], [-0.807, -6.971, -6.287], [-0.555, -3.547, 8.711]],
  "species": ["Ac", "Ac", "Ac", "Ac", "Ac", "Ac", "Ac", "Ac", "Ac", "Ac", "Ac", "Ac", "Cu", "Cu", "Cu", "Cu", "Cu", "Cu", "In"],
  "fractional_positions": [[0.304, 0.487, 0.183], [0.879, 0.183, 0.696], [0.817, 0.304, 0.121], [0.304, 0.121, 0.817], [0.121, 0.817, 0.304], [0.487, 0.183, 0.304], [0.817, 0.696, 0.513], [0.696, 0.513, 0.817], [0.696, 0.879, 0.183], [0.183, 0.696, 0.879], [0.183, 0.304, 0.487], [0.513, 0.817, 0.696], [0.117, 0.617, 0.500], [0.500, 0.883, 0.383], [0.617, 0.500, 0.117], [0.883, 0.383, 0.500], [0.383, 0.500, 0.883], [0.500, 0.117, 0.617], [0.000, 0.000, 0.000]],
  "n_ef_per_ev_atom": 1.27,
  "e_form_ev_per_atom": -0.11,
  "sg": "Im-3"
}


{
  "formula": "AcIn2Cu9",
  "functional": "PBE-GGA",
  "state": "optimized geometry",
  "lattice_angstrom": [[-2.412, -3.851, 2.521], [5.113, -0.274, -0.883], [2.853, 7.505, 14.192]],
  "species": ["Cu", "Cu", "Cu", "Cu", "Cu", "Cu", "Cu", "Cu", "Cu", "Cu", "Cu", "Cu", "Cu", "Cu", "Cu", "Cu", "Cu", "Cu", "In", "In", "In", "In", "Ac", "Ac"],
  "fractional_positions": [[0.000, 0.000, 0.750], [0.168, 0.832, 0.122], [0.832, 0.168, 0.878], [0.667, 0.333, 0.750], [0.664, 0.832, 0.378], [0.832, 0.664, 0.622], [0.000, 0.000, 0.000], [0.832, 0.168, 0.622], [0.333, 0.667, 0.250], [0.336, 0.168, 0.622], [0.168, 0.336, 0.122], [0.000, 0.000, 0.500], [0.168, 0.336, 0.378], [0.664, 0.832, 0.122], [0.000, 0.000, 0.250], [0.336, 0.168, 0.878], [0.168, 0.832, 0.378], [0.832, 0.664, 0.878], [0.667, 0.333, 0.034], [0.333, 0.667, 0.534], [0.667, 0.333, 0.466], [0.333, 0.667, 0.966], [0.333, 0.667, 0.750], [0.667, 0.333, 0.250]],
  "n_ef_per_ev_atom": 0.41,
  "e_form_ev_per_atom": -0.10,
  "sg": "P6_3/mmc"
}


{
  "formula": "Ac12InCu5",
  "functional": "PBE-GGA",
  "state": "optimized geometry",
  "lattice_angstrom": [[8.634, -0.029, -3.546], [-4.404, 7.811, -2.592], [-0.241, 0.029, 9.331]],
  "species": ["Cu", "Cu", "Cu", "Cu", "Cu", "Ac", "Ac", "Ac", "Ac", "Ac", "Ac", "Ac", "Ac", "Ac", "Ac", "Ac", "Ac", "In"],
  "fractional_positions": [[0.352, 0.352, 0.000], [0.648, 0.648, 0.000], [0.500, 0.114, 0.614], [0.000, 0.000, 0.000], [0.500, 0.886, 0.386], [0.535, 0.822, 0.713], [0.689, 0.674, 0.362], [0.817, 0.590, 0.774], [0.891, 0.178, 0.713], [0.689, 0.326, 0.015], [0.465, 0.178, 0.287], [0.817, 0.043, 0.226], [0.311, 0.674, 0.985], [0.183, 0.957, 0.774], [0.311, 0.326, 0.638], [0.109, 0.822, 0.287], [0.183, 0.410, 0.226], [0.000, 0.500, 0.500]],
  "n_ef_per_ev_atom": 1.15,
  "e_form_ev_per_atom": -0.10,
  "sg": "Immm"
}


{
  "formula": "Ac3In7Cu2",
  "functional": "PBE-GGA",
  "state": "optimized geometry",
  "lattice_angstrom": [[4.781, 0.000, 0.000], [0.000, 4.751, -0.562], [0.000, -0.661, 14.657]],
  "species": ["In", "In", "In", "In", "In", "In", "In", "Ac", "Ac", "Ac", "Cu", "Cu"],
  "fractional_positions": [[0.500, 0.088, 0.175], [0.000, 0.000, 0.000], [0.500, 0.722, 0.444], [0.000, 0.413, 0.825], [0.500, 0.278, 0.556], [0.500, 0.912, 0.825], [0.000, 0.587, 0.175], [0.000, 0.817, 0.635], [0.000, 0.183, 0.365], [0.500, 0.500, 0.000], [0.500, 0.368, 0.737], [0.500, 0.632, 0.263]],
  "n_ef_per_ev_atom": 0.68,
  "e_form_ev_per_atom": -0.35,
  "sg": "P2/m"
}


{
  "formula": "AcIn12Cu6",
  "functional": "PBE-GGA",
  "state": "optimized geometry",
  "lattice_angstrom": [[7.914, -0.075, -0.106], [-2.035, 7.649, -0.106], [-2.035, -2.621, 7.186]],
  "species": ["In", "In", "In", "In", "In", "In", "In", "In", "In", "In", "In", "In", "Cu", "Cu", "Cu", "Cu", "Cu", "Cu", "Ac"],
  "fractional_positions": [[0.118, 0.500, 0.882], [0.500, 0.118, 0.882], [0.882, 0.118, 0.500], [0.422, 0.165, 0.422], [0.500, 0.882, 0.118], [0.835, 0.578, 0.578], [0.422, 0.422, 0.165], [0.118, 0.882, 0.500], [0.578, 0.835, 0.578], [0.578, 0.578, 0.835], [0.882, 0.500, 0.118], [0.165, 0.422, 0.422], [0.715, 0.264, 0.264], [0.736, 0.285, 0.736], [0.285, 0.736, 0.736], [0.264, 0.264, 0.715], [0.264, 0.715, 0.264], [0.736, 0.736, 0.285], [0.000, 0.000, 0.000]],
  "n_ef_per_ev_atom": 0.37,
  "e_form_ev_per_atom": 0.02,
  "sg": "R-3m"
}


{
  "formula": "Ac12In6Cu",
  "functional": "PBE-GGA",
  "state": "optimized geometry",
  "lattice_angstrom": [[-9.052, -0.766, -0.333], [0.944, -2.019, -8.813], [1.086, -8.655, 2.559]],
  "species": ["Ac", "Ac", "Ac", "Ac", "Ac", "Ac", "Ac", "Ac", "Ac", "Ac", "Ac", "Ac", "Cu", "In", "In", "In", "In", "In", "In"],
  "fractional_positions": [[0.806, 0.568, 0.451], [0.451, 0.806, 0.568], [0.090, 0.320, 0.966], [0.680, 0.034, 0.910], [0.432, 0.549, 0.194], [0.034, 0.910, 0.680], [0.320, 0.966, 0.090], [0.966, 0.090, 0.320], [0.568, 0.451, 0.806], [0.194, 0.432, 0.549], [0.549, 0.194, 0.432], [0.910, 0.680, 0.034], [0.000, 0.000, 0.000], [0.659, 0.860, 0.260], [0.860, 0.260, 0.659], [0.140, 0.740, 0.341], [0.260, 0.659, 0.860], [0.341, 0.140, 0.740], [0.740, 0.341, 0.140]],
  "n_ef_per_ev_atom": 1.23,
  "e_form_ev_per_atom": -0.18,
  "sg": "R-3"
}


{
  "formula": "AcIn3Cu2",
  "functional": "PBE-GGA",
  "state": "optimized geometry",
  "lattice_angstrom": [[-4.742, 2.438, 1.460], [-3.703, -5.463, -2.905], [1.109, -1.948, 6.854]],
  "species": ["Cu", "Cu", "Cu", "Cu", "In", "In", "In", "In", "In", "In", "Ac", "Ac"],
  "fractional_positions": [[0.000, 0.203, 0.797], [0.500, 0.797, 0.203], [0.000, 0.797, 0.203], [0.500, 0.203, 0.797], [0.750, 0.063, 0.063], [0.250, 0.937, 0.937], [0.750, 0.099, 0.476], [0.750, 0.476, 0.099], [0.250, 0.901, 0.524], [0.250, 0.524, 0.901], [0.750, 0.666, 0.666], [0.250, 0.334, 0.334]],
  "n_ef_per_ev_atom": 0.32,
  "polymorph_energy_ev_per_atom": 0.065,
  "e_form_ev_per_atom": -0.18,
  "sg": "Cmcm"
}


{
  "formula": "Ac3InCu2",
  "functional": "PBE-GGA",
  "state": "optimized geometry",
  "lattice_angstrom": [[3.842, 0.000, 0.000], [0.000, 3.842, 0.000], [0.000, 0.000, 12.124]],
  "species": ["In", "Ac", "Ac", "Ac", "Cu", "Cu"],
  "fractional_positions": [[0.500, 0.500, 0.500], [0.000, 0.000, 0.689], [0.000, 0.000, 0.311], [0.000, 0.000, 0.000], [0.500, 0.500, 0.845], [0.500, 0.500, 0.155]],
  "n_ef_per_ev_atom": 0.83,
  "e_form_ev_per_atom": -0.19,
  "sg": "P4/mmm"
}


{
  "formula": "AcIn3Cu",
  "functional": "PBE-GGA",
  "state": "optimized geometry",
  "lattice_angstrom": [[5.156, 0.000, 0.000], [0.000, 5.156, 0.000], [0.000, 0.000, 5.156]],
  "species": ["In", "In", "In", "Ac", "Cu"],
  "fractional_positions": [[0.500, 0.000, 0.000], [0.000, 0.000, 0.500], [0.000, 0.500, 0.000], [0.500, 0.500, 0.500], [0.000, 0.000, 0.000]],
  "n_ef_per_ev_atom": 0.35,
  "polymorph_energy_ev_per_atom": 0.155,
  "e_form_ev_per_atom": -0.15,
  "sg": "Pm-3m"
}


{
  "formula": "Ac2InCu3",
  "functional": "PBE-GGA",
  "state": "optimized geometry",
  "lattice_angstrom": [[6.260, -0.096, 0.000], [-0.339, 6.252, 0.000], [-2.961, -3.078, 7.833]],
  "species": ["Ac", "Ac", "Ac", "Ac", "Cu", "Cu", "Cu", "Cu", "Cu", "Cu", "In", "In"],
  "fractional_positions": [[0.250, 0.750, 0.500], [0.750, 0.250, 0.500], [0.768, 0.768, 0.000], [0.232, 0.232, 0.000], [0.676, 0.162, 0.838], [0.837, 0.837, 0.675], [0.162, 0.676, 0.838], [0.838, 0.324, 0.162], [0.163, 0.163, 0.325], [0.324, 0.838, 0.162], [0.337, 0.337, 0.674], [0.663, 0.663, 0.326]],
  "n_ef_per_ev_atom": 0.78,
  "polymorph_energy_ev_per_atom": 0.014,
  "e_form_ev_per_atom": -0.20,
  "sg": "Fmmm"
}


{
  "formula": "Ac3In8Cu3",
  "functional": "PBE-GGA",
  "state": "optimized geometry",
  "lattice_angstrom": [[4.740, 0.000, 1.250], [1.564, 8.278, 3.681], [0.124, -0.158, 9.141]],
  "species": ["Cu", "Cu", "Cu", "In", "In", "In", "In", "In", "In", "In", "In", "Ac", "Ac", "Ac"],
  "fractional_positions": [[0.656, 0.696, 0.992], [0.344, 0.304, 0.008], [0.000, 0.500, 0.500], [0.349, 0.034, 0.267], [0.651, 0.966, 0.733], [0.506, 0.675, 0.313], [0.140, 0.152, 0.568], [0.860, 0.848, 0.432], [0.149, 0.575, 0.126], [0.851, 0.425, 0.874], [0.494, 0.325, 0.687], [0.000, 0.000, 0.000], [0.293, 0.700, 0.714], [0.707, 0.300, 0.286]],
  "n_ef_per_ev_atom": 0.43,
  "e_form_ev_per_atom": -0.28,
  "sg": "C2/m"
}


{
  "formula": "Ac5In2Cu2",
  "functional": "PBE-GGA",
  "state": "optimized geometry",
  "lattice_angstrom": [[7.911, 0.000, 0.000], [0.000, 9.122, 0.000], [0.000, -4.561, 8.520]],
  "species": ["Ac", "Ac", "Ac", "Ac", "Ac", "Ac", "Ac", "Ac", "Ac", "Ac", "Cu", "Cu", "Cu", "Cu", "In", "In", "In", "In"],
  "fractional_positions": [[0.843, 0.555, 0.746], [0.157, 0.191, 0.746], [0.657, 0.055, 0.746], [0.657, 0.309, 0.254], [0.343, 0.945, 0.254], [0.843, 0.809, 0.254], [0.343, 0.691, 0.746], [0.157, 0.445, 0.254], [0.000, 0.000, 0.000], [0.500, 0.500, 0.000], [0.378, 0.106, 0.000], [0.878, 0.394, 0.000], [0.622, 0.894, 0.000], [0.122, 0.606, 0.000], [0.500, 0.713, 0.426], [0.000, 0.787, 0.574], [0.500, 0.287, 0.574], [0.000, 0.213, 0.426]],
  "n_ef_per_ev_atom": 1.13,
  "e_form_ev_per_atom": -0.16,
  "sg": "Cmce"
}


{
  "formula": "Ac3In2Cu4",
  "functional": "PBE-GGA",
  "state": "optimized geometry",
  "lattice_angstrom": [[-2.705, -1.197, 3.351], [-1.526, -2.633, -5.154], [6.132, -6.339, 2.685]],
  "species": ["In", "In", "Ac", "Ac", "Ac", "Cu", "Cu", "Cu", "Cu"],
  "fractional_positions": [[0.677, 0.354, 0.775], [0.323, 0.646, 0.225], [0.627, 0.254, 0.375], [0.000, 0.000, 0.000], [0.373, 0.746, 0.625], [0.274, 0.548, 0.933], [0.925, 0.849, 0.376], [0.726, 0.452, 0.067], [0.075, 0.151, 0.624]],
  "n_ef_per_ev_atom": 0.72,
  "e_form_ev_per_atom": -0.25,
  "sg": "C2/m"
}


{
  "formula": "AcInCu",
  "functional": "PBE-GGA",
  "state": "optimized geometry",
  "lattice_angstrom": [[-1.982, -5.013, -1.429], [5.231, -0.180, 1.923], [-3.677, 1.836, 5.267]],
  "species": ["Ac", "Ac", "In", "In", "Cu", "Cu"],
  "fractional_positions": [[0.975, 0.025, 0.000], [0.725, 0.275, 0.500], [0.363, 0.637, 0.500], [0.613, 0.387, 0.000], [0.069, 0.931, 0.500], [0.319, 0.681, 0.000]],
  "n_ef_per_ev_atom": 0.94,
  "polymorph_energy_ev_per_atom": 0.287,
  "e_form_ev_per_atom": -0.03,
  "sg": "Fdd2"
}


{
  "formula": "Ac2In12Cu",
  "functional": "PBE-GGA",
  "state": "optimized geometry",
  "lattice_angstrom": [[-0.119, 1.544, 6.723], [0.860, -6.668, 1.547], [17.352, 2.192, -0.197]],
  "species": ["In", "In", "In", "In", "In", "In", "In", "In", "In", "In", "In", "In", "In", "In", "In", "In", "In", "In", "In", "In", "In", "In", "In", "In", "Ac", "Ac", "Ac", "Ac", "Cu", "Cu"],
  "fractional_positions": [[0.334, 0.166, 0.570], [0.500, 0.500, 0.342], [0.251, 0.751, 0.916], [0.666, 0.166, 0.430], [0.751, 0.251, 0.084], [0.500, 0.500, 0.182], [0.749, 0.249, 0.916], [0.000, 0.000, 0.182], [0.251, 0.249, 0.084], [0.249, 0.749, 0.084], [0.000, 0.000, 0.818], [0.834, 0.334, 0.570], [0.500, 0.500, 0.818], [0.666, 0.834, 0.570], [0.334, 0.834, 0.430], [0.751, 0.749, 0.916], [0.166, 0.666, 0.570], [0.166, 0.334, 0.430], [0.249, 0.251, 0.916], [0.500, 0.500, 0.658], [0.000, 0.000, 0.658], [0.834, 0.666, 0.430], [0.000, 0.000, 0.342], [0.749, 0.751, 0.084], [0.500, 0.000, 0.245], [0.500, 0.000, 0.755], [0.000, 0.500, 0.755], [0.000, 0.500, 0.245], [0.000, 0.500, 0.000], [0.500, 0.000, 0.000]],
  "n_ef_per_ev_atom": 0.31,
  "e_form_ev_per_atom": -0.20,
  "sg": "P4/nbm"
}


{
  "formula": "AcInCu",
  "functional": "PBE-GGA",
  "state": "optimized geometry",
  "lattice_angstrom": [[-4.646, -0.759, -1.547], [-3.275, -2.214, 2.988], [-3.723, 2.614, 1.964]],
  "species": ["Cu", "In", "Ac"],
  "fractional_positions": [[0.250, 0.250, 0.250], [0.500, 0.500, 0.500], [0.000, 0.000, 0.000]],
  "n_ef_per_ev_atom": 1.36,
  "polymorph_energy_ev_per_atom": 0.080,
  "e_form_ev_per_atom": -0.24,
  "sg": "F-43m"
}


{
  "formula": "AcIn8Cu2",
  "functional": "PBE-GGA",
  "state": "optimized geometry",
  "lattice_angstrom": [[-2.953, -5.572, -0.133], [4.625, -2.366, -3.577], [4.249, -2.421, 7.095]],
  "species": ["Ac", "In", "In", "In", "In", "In", "In", "In", "In", "Cu", "Cu"],
  "fractional_positions": [[0.500, 0.500, 0.500], [0.247, 0.247, 0.809], [0.247, 0.753, 0.809], [0.753, 0.247, 0.191], [0.753, 0.247, 0.809], [0.247, 0.247, 0.191], [0.753, 0.753, 0.809], [0.247, 0.753, 0.191], [0.753, 0.753, 0.191], [0.500, 0.000, 0.000], [0.000, 0.500, 0.000]],
  "n_ef_per_ev_atom": 0.65,
  "e_form_ev_per_atom": 0.08,
  "sg": "P4/mmm"
}


{
  "formula": "Ac2InCu",
  "functional": "PBE-GGA",
  "state": "optimized geometry",
  "lattice_angstrom": [[-1.403, 1.342, -3.420], [2.620, -4.218, -2.730], [-9.062, -6.408, 1.204]],
  "species": ["Ac", "Ac", "Ac", "Ac", "Cu", "Cu", "In", "In"],
  "fractional_positions": [[0.000, 0.750, 0.352], [0.000, 0.250, 0.112], [0.000, 0.250, 0.648], [0.000, 0.750, 0.888], [0.500, 0.750, 0.120], [0.500, 0.250, 0.880], [0.500, 0.250, 0.382], [0.500, 0.750, 0.618]],
  "n_ef_per_ev_atom": 0.94,
  "e_form_ev_per_atom": -0.23,
  "sg": "Pmma"
}